Entry 1:
This record from the Alexandria database describes La3TbSm7 after structural relaxation. The functional is PBE-GGA.

ΔE_f, eV/atom: 0.115
ΔE to the lowest computed polymorph, meV/atom: 0.0
Space group: P-1, No. 2
Density, g/cm3: 6.978

a b c (Å): 6.6474 6.8583 8.8097
angles (deg): 100.14 98.57 95.97
Last column: nearest neighbours and their distance in Å.
Sites, in units of the cell vectors:
La (0.0000, 0.0000, 0.0000)  8 Sm 3.49-3.83, 4 La 3.83-3.87
La (0.1852, 0.5607, 0.1704)  6 Sm 3.43-3.78, 2 La 3.50-3.83
La (0.8148, 0.4393, 0.8296)  6 Sm 3.43-3.78, 2 La 3.50-3.83
Tb (0.5000, 0.0000, 0.5000)  8 Sm 3.43-3.72
Sm (0.0122, 0.7701, 0.5765)  6 Sm 3.41-3.77, 1 Tb 3.66, 2 La 3.72-3.80
Sm (0.2913, 0.2719, 0.7900)  1 Tb 3.44, 4 La 3.49-3.78, 6 Sm 3.49-3.77
Sm (0.4342, 0.7886, 0.8538)  6 Sm 3.41-3.65, 2 La 3.66, 1 Tb 3.72
Sm (0.5000, 0.5000, 0.5000)  2 Tb 3.43, 2 La 3.43, 6 Sm 3.50-3.61
Sm (0.5658, 0.2114, 0.1462)  6 Sm 3.41-3.65, 2 La 3.66, 1 Tb 3.72
Sm (0.7087, 0.7281, 0.2100)  1 Tb 3.44, 4 La 3.49-3.78, 6 Sm 3.49-3.77
Sm (0.9878, 0.2299, 0.4235)  6 Sm 3.41-3.77, 1 Tb 3.66, 2 La 3.72-3.80


Entry 2:
This record from the Alexandria database describes LaTb2Sm2 after structural relaxation. The functional is PBE-GGA.

ΔE_f, eV/atom: 0.132
ΔE to the lowest computed polymorph, meV/atom: 49.7
Space group: C2/c, No. 15
Density, g/cm3: 7.391

a b c (Å): 6.3307 6.3307 9.4277
angles (deg): 108.05 108.05 80.13
Last column: nearest neighbours and their distance in Å.
Sites, in units of the cell vectors:
La (0.2152, 0.7848, 0.7500)  2 Tb 3.49, 6 Sm 3.49-3.59
La (0.7848, 0.2152, 0.2500)  2 Tb 3.49, 6 Sm 3.49-3.59
Tb (0.2745, 0.3928, 0.0257)  5 Sm 3.31-3.70, 2 Tb 3.45-3.58, 1 La 3.49
Tb (0.3928, 0.2745, 0.5257)  5 Sm 3.31-3.70, 2 Tb 3.45-3.58, 1 La 3.49
Tb (0.6072, 0.7255, 0.4743)  5 Sm 3.31-3.70, 2 Tb 3.45-3.58, 1 La 3.49
Tb (0.7255, 0.6072, 0.9743)  5 Sm 3.31-3.70, 2 Tb 3.45-3.58, 1 La 3.49
Sm (0.0578, 0.7152, 0.3502)  5 Tb 3.31-3.70, 1 Sm 3.43, 3 La 3.49-3.59
Sm (0.2848, 0.9422, 0.1498)  5 Tb 3.31-3.70, 1 Sm 3.43, 3 La 3.49-3.59
Sm (0.7152, 0.0578, 0.8502)  5 Tb 3.31-3.70, 1 Sm 3.43, 3 La 3.49-3.59
Sm (0.9422, 0.2848, 0.6498)  5 Tb 3.31-3.70, 1 Sm 3.43, 3 La 3.49-3.59


Entry 3:
This record from the Alexandria database describes La6TbSm4 after structural relaxation. The functional is PBE-GGA.

ΔE_f, eV/atom: 0.263
ΔE to the lowest computed polymorph, meV/atom: 163.9
Space group: I-42m, No. 121
Density, g/cm3: 6.610

a b c (Å): 9.4982 9.4982 9.4982
angles (deg): 136.53 136.53 63.16
Last column: nearest neighbours and their distance in Å.
Sites, in units of the cell vectors:
La (0.0000, 0.5000, 0.5000)  4 Sm 3.11
La (0.0090, 0.6279, 0.0000)  3 Sm 3.46-3.73, 1 Tb 3.50, 1 La 3.79
La (0.3721, 0.3721, 0.3811)  3 Sm 3.46-3.73, 1 Tb 3.50, 1 La 3.79
La (0.5000, 0.0000, 0.5000)  4 Sm 3.11
La (0.6279, 0.0090, 0.0000)  3 Sm 3.46-3.73, 1 Tb 3.50, 1 La 3.79
La (0.9910, 0.9910, 0.6189)  3 Sm 3.46-3.73, 1 Tb 3.50, 1 La 3.79
Tb (0.0000, 0.0000, 0.0000)  8 La 3.50-3.52, 4 Sm 3.69
Sm (0.2253, 0.2253, 0.6600)  3 La 3.11-3.46, 1 Sm 3.38
Sm (0.4347, 0.7747, 0.0000)  3 La 3.11-3.46, 1 Sm 3.38
Sm (0.5653, 0.5653, 0.3400)  3 La 3.11-3.46, 1 Sm 3.38
Sm (0.7747, 0.4347, 0.0000)  3 La 3.11-3.46, 1 Sm 3.38